BaSr2AcSe4 | Alexandria | PBE | relaxed; total DFT energy (no corrections) = -39.2 eV for the cell shown; space-group type = No. 10; total magnetic moment = 0.00 μB/atom
1.0
7.8045 0.0000 0.0000
0.0000 4.5079 0.0000
-2.5965 0.0000 7.3934
Ba Sr Ac Se
1 2 1 4
direct
0.0000 0.0000 0.0000
0.5000 0.0000 0.5000
0.5000 0.5000 0.0000
0.0000 0.5000 0.5000
0.2548 0.0000 0.7440
0.2595 0.5000 0.2622
0.7405 0.5000 0.7378
0.7452 0.0000 0.2560

ScSi3Pb | Alexandria | PBE | relaxed; total DFT energy (no corrections) = -22.9 eV for the cell shown; space-group type = No. 221; relative energy among the computed polymorphs = 0.000 eV per formula unit; total magnetic moment = 0.00 μB/atom
1.0
5.0431 0.0000 0.0000
0.0000 5.0431 0.0000
0.0000 0.0000 5.0431
Sc Si Pb
1 3 1
direct
0.0000 0.0000 0.0000
0.0000 0.0000 0.5000
0.0000 0.5000 0.0000
0.5000 0.0000 0.0000
0.5000 0.5000 0.5000

KCoTe2N | Alexandria | PBE | relaxed; total DFT energy (no corrections) = -12.9 eV for the cell shown; space-group type = No. 123; relative energy among the computed polymorphs = 9.828 eV per formula unit; total magnetic moment = 1.19 μB/atom
1.0
6.1229 0.0000 0.0000
0.0000 6.1229 0.0000
0.0000 0.0000 4.8414
K Co Te N
1 1 2 1
direct
0.0000 0.0000 0.0000
0.5000 0.5000 0.5000
0.0000 0.5000 0.0000
0.5000 0.0000 0.0000
0.0000 0.0000 0.5000

NaCu7F12 | Alexandria | PBE | relaxed; total DFT energy (no corrections) = -82.9 eV for the cell shown; space-group type = No. 204; total magnetic moment = 0.20 μB/atom
1.0
-3.9140 3.9140 3.9140
3.9140 -3.9140 3.9140
3.9140 3.9140 -3.9140
Na Cu F
1 7 12
direct
0.0000 0.0000 0.0000
0.0000 0.0000 0.5000
0.0000 0.5000 0.0000
0.0000 0.5000 0.5000
0.5000 0.0000 0.0000
0.5000 0.0000 0.5000
0.5000 0.5000 0.0000
0.5000 0.5000 0.5000
0.1376 0.8272 0.3104
0.1728 0.3104 0.4831
0.1728 0.6896 0.8624
0.3104 0.1376 0.8272
0.3104 0.4831 0.1728
0.4831 0.1728 0.3104
0.5169 0.8272 0.6896
0.6896 0.5169 0.8272
0.6896 0.8624 0.1728
0.8272 0.3104 0.1376
0.8272 0.6896 0.5169
0.8624 0.1728 0.6896

Cs8SI5 | Alexandria | PBE | relaxed; total DFT energy (no corrections) = -36.4 eV for the cell shown; space-group type = No. 82; total magnetic moment = 0.00 μB/atom
1.0
-5.8023 5.8023 5.8912
5.8023 -5.8023 5.8912
5.8023 5.8023 -5.8912
Cs S I
8 1 5
direct
0.2081 0.4675 0.6007
0.3926 0.7919 0.2594
0.4097 0.2623 0.2761
0.5325 0.1332 0.7406
0.7377 0.0138 0.1474
0.8664 0.5903 0.8526
0.8668 0.6074 0.3993
0.9862 0.1336 0.7239
0.7500 0.2500 0.5000
0.0081 0.3833 0.1302
0.1221 0.9919 0.3751
0.2530 0.8779 0.8698
0.5000 0.5000 0.0000
0.6167 0.7470 0.6249

AcPmHo14 | Alexandria | PBE | relaxed; total DFT energy (no corrections) = -72.6 eV for the cell shown; space-group type = No. 38; energy of formation from the pure elements = 0.0200 eV/atom; total magnetic moment = 0.00 μB/atom
1.0
11.3217 0.0000 0.0000
0.0000 3.6396 6.2847
0.0000 -3.6396 6.2847
Ac Pm Ho
1 1 14
direct
0.0000 0.0000 0.0000
0.0000 0.5001 0.5001
0.0000 0.0033 0.5009
0.0000 0.5009 0.0033
0.2514 0.6690 0.6690
0.2548 0.1700 0.1700
0.2564 0.1694 0.6661
0.2564 0.6661 0.1694
0.5000 0.0011 0.5014
0.5000 0.0017 0.0017
0.5000 0.5014 0.0011
0.5000 0.5015 0.5015
0.7436 0.1694 0.6661
0.7436 0.6661 0.1694
0.7452 0.1700 0.1700
0.7486 0.6690 0.6690

Li5Sn3O12 | Alexandria | PBE | relaxed; total DFT energy (no corrections) = -407.5 eV for the cell shown; space-group type = No. 230; total magnetic moment = 0.35 μB/atom
1.0
-6.0345 6.0345 6.0345
6.0345 -6.0345 6.0345
6.0345 6.0345 -6.0345
Li Sn O
20 12 48
direct
0.0000 0.0000 0.0000
0.0000 0.0000 0.5000
0.0000 0.5000 0.0000
0.0000 0.5000 0.5000
0.1250 0.7500 0.8750
0.1250 0.8750 0.2500
0.2500 0.1250 0.8750
0.2500 0.6250 0.3750
0.3750 0.2500 0.6250
0.3750 0.6250 0.7500
0.5000 0.0000 0.0000
0.5000 0.0000 0.5000
0.5000 0.5000 0.0000
0.5000 0.5000 0.5000
0.6250 0.3750 0.2500
0.6250 0.7500 0.3750
0.7500 0.3750 0.6250
0.7500 0.8750 0.1250
0.8750 0.1250 0.7500
0.8750 0.2500 0.1250
0.1250 0.2500 0.3750
0.1250 0.3750 0.7500
0.2500 0.3750 0.1250
0.2500 0.8750 0.6250
0.3750 0.1250 0.2500
0.3750 0.7500 0.1250
0.6250 0.2500 0.8750
0.6250 0.8750 0.7500
0.7500 0.1250 0.3750
0.7500 0.6250 0.8750
0.8750 0.6250 0.2500
0.8750 0.7500 0.6250
0.0548 0.2387 0.1400
0.0548 0.3161 0.9148
0.0852 0.6400 0.4013
0.0852 0.9452 0.6839
0.0987 0.7387 0.6839
0.0987 0.8600 0.4148
0.1400 0.0548 0.2387
0.1400 0.5852 0.9013
0.1839 0.2387 0.5987
0.1839 0.4452 0.5852
0.2387 0.1400 0.0548
0.2387 0.5987 0.1839
0.2613 0.3161 0.9013
0.2613 0.4452 0.3600
0.3161 0.9013 0.2613
0.3161 0.9148 0.0548
0.3600 0.2613 0.4452
0.3600 0.5987 0.9148
0.4013 0.0852 0.6400
0.4013 0.8161 0.7613
0.4148 0.0987 0.8600
0.4148 0.8161 0.5548
0.4452 0.3600 0.2613
0.4452 0.5852 0.1839
0.5548 0.4148 0.8161
0.5548 0.6400 0.7387
0.5852 0.1839 0.4452
0.5852 0.9013 0.1400
0.5987 0.1839 0.2387
0.5987 0.9148 0.3600
0.6400 0.4013 0.0852
0.6400 0.7387 0.5548
0.6839 0.0852 0.9452
0.6839 0.0987 0.7387
0.7387 0.5548 0.6400
0.7387 0.6839 0.0987
0.7613 0.4013 0.8161
0.7613 0.8600 0.9452
0.8161 0.5548 0.4148
0.8161 0.7613 0.4013
0.8600 0.4148 0.0987
0.8600 0.9452 0.7613
0.9013 0.1400 0.5852
0.9013 0.2613 0.3161
0.9148 0.0548 0.3161
0.9148 0.3600 0.5987
0.9452 0.6839 0.0852
0.9452 0.7613 0.8600

Ba2ZrCu | Alexandria | PBE | relaxed; total DFT energy (no corrections) = -15.4 eV for the cell shown; space-group type = No. 99; energy of formation from the pure elements = 0.2630 eV/atom; relative energy among the computed polymorphs = 0.000 eV per formula unit; total magnetic moment = 0.28 μB/atom
1.0
3.6810 0.0000 0.0000
0.0000 3.6810 0.0000
0.0000 0.0000 10.0219
Ba Zr Cu
2 1 1
direct
0.0000 0.0000 0.0000
0.5000 0.5000 0.3846
0.5000 0.5000 0.7211
0.0000 0.0000 0.6193

Sr2CdAg | Alexandria | PBE | relaxed; total DFT energy (no corrections) = -8.4 eV for the cell shown; space-group type = No. 6; energy of formation from the pure elements = -0.3118 eV/atom; total magnetic moment = 0.00 μB/atom
1.0
4.5318 0.0000 0.0000
0.0000 4.9333 0.0000
-2.2540 0.0000 6.0943
Sr Cd Ag
2 1 1
direct
0.0000 0.0000 0.0000
0.2843 0.5000 0.5692
0.7114 0.0000 0.4229
0.5728 0.5000 0.1464

Pm5Ni2Sn4 | Alexandria | PBE | relaxed; total DFT energy (no corrections) = -55.5 eV for the cell shown; space-group type = No. 12; energy of formation from the pure elements = -0.3833 eV/atom; total magnetic moment = 0.00 μB/atom
1.0
10.6833 -1.8168 0.0000
10.6833 1.8168 0.0000
-3.2513 0.0000 7.6779
Pm Ni Sn
5 2 4
direct
0.0000 0.0000 0.0000
0.3456 0.3456 0.0675
0.3458 0.3458 0.6237
0.6542 0.6542 0.3763
0.6544 0.6544 0.9325
0.0728 0.0728 0.5720
0.9272 0.9272 0.4280
0.2101 0.2101 0.7100
0.4998 0.4998 0.3240
0.5002 0.5002 0.6760
0.7899 0.7899 0.2900

ReBi2Au | Alexandria | PBE | relaxed; total DFT energy (no corrections) = -20.1 eV for the cell shown; space-group type = No. 225; energy of formation from the pure elements = 0.8488 eV/atom; relative energy among the computed polymorphs = 0.000 eV per formula unit; total magnetic moment = 0.35 μB/atom
1.0
0.0000 3.5501 3.5501
3.5501 0.0000 3.5501
3.5501 3.5501 0.0000
Re Bi Au
1 2 1
direct
0.0000 0.0000 0.0000
0.2500 0.2500 0.2500
0.7500 0.7500 0.7500
0.5000 0.5000 0.5000

KMnSN2 | Alexandria | PBE | relaxed; total DFT energy (no corrections) = -28.6 eV for the cell shown; space-group type = No. 123; relative energy among the computed polymorphs = 0.000 eV per formula unit; total magnetic moment = 0.01 μB/atom
1.0
3.8835 0.0000 0.0000
0.0000 3.8835 0.0000
0.0000 0.0000 4.9126
K Mn S N
1 1 1 2
direct
0.0000 0.0000 0.0000
0.5000 0.5000 0.5000
0.5000 0.5000 0.0000
0.0000 0.5000 0.5000
0.5000 0.0000 0.5000